A relaxed Hf12Ga5H2 crystal, computed with PBE.

The space group is C2/m (No. 12) and the conventional cell measures 14.533, 6.229 and 7.869 Å, with angles of 90.00, 90.45 and 90.00 degrees. The inequivalent atoms are Hf at (0.009, 0.000, 0.245), Hf at (0.012, 0.500, 0.319), Hf at (0.143, 0.241, 0.959), Hf at (0.146, 0.247, 0.539), Ga at (0.000, 0.500, 0.000), Ga at (0.214, 0.500, 0.248), Ga at (0.217, 0.000, 0.248) and H at (0.000, 0.243, 0.500).

Its volume is 712.4 Å³/cell. For the final energy, the calculation gives -7.59 eV per atom. The spin magnetization comes out at 0.000 Bohr magnetons per cell.

A relaxed Hf3Ga2H2 crystal, computed with PBE.

The space group is P2_1/c (No. 14) and the conventional cell measures 5.570, 7.691 and 5.617 Å, with angles of 90.00, 120.15 and 90.00 degrees. The inequivalent atoms are Hf at (0.000, 0.000, 0.000), Hf at (0.282, 0.113, 0.634), Ga at (0.245, 0.739, 0.353) and H at (0.315, 0.140, 0.290).

Its volume is 208.0 Å³/cell. For the final energy, the calculation gives -6.43 eV per atom. The spin magnetization comes out at 0.000 Bohr magnetons per cell.

A relaxed Hf2GaH crystal, computed with PBE.

The space group is R-3m (No. 166, hexagonal axes) and the conventional cell measures 3.0654, 3.0654 and 25.1559 Å, with angles of 90.00, 90.00 and 120.00 degrees. The inequivalent atoms are Hf at (0.0000, 0.0000, 0.1107), Ga at (0.0000, 0.0000, 0.0000) and H at (0.0000, 0.0000, 0.5000).

Its volume is 204.7 Å³/cell. The spin magnetization comes out at 0.001 Bohr magnetons per cell. The calculation puts the energy above the most stable polymorph in this dataset at 1.849 eV per formula unit.